Record 1
DFT (PBEsol) results for a geometry-optimized MgTeC3 structure.

Structure (POSCAR):
```
MgTeC3
1.0
4.1780 0.0000 0.0000
0.0000 4.1780 0.0000
0.0000 0.0000 4.1780
Mg Te C
1 1 3
Direct
0.0000 0.0000 0.0000
0.5000 0.5000 0.5000
0.0000 0.5000 0.5000
0.5000 0.0000 0.5000
0.5000 0.5000 0.0000
```

Properties
The calculation puts the density of states at the Fermi level at 0.69 states/eV per atom.

***

Record 2
DFT (PBEsol) results for a geometry-optimized MgTe3C structure.

Structure (POSCAR):
```
MgTe3C
1.0
5.3147 0.0000 0.0000
0.0000 5.3147 0.0000
0.0000 0.0000 5.3147
Mg Te C
1 3 1
Direct
0.0000 0.0000 0.0000
0.0000 0.0000 0.5000
0.0000 0.5000 0.0000
0.5000 0.0000 0.0000
0.5000 0.5000 0.5000
```

Properties
The calculation puts the density of states at the Fermi level at 1.31 states/eV per atom.

***

no.,total magnetization (μB per atom),formation energy (no corrections) (kJ/mol of formula units),energy (eV per atom)
1,0.000,1240.5,-4.26
2,0.272,819.9,-2.69